This record from the Alexandria database describes a relaxed structure of KGaRe3. The functional is GGA-PBEsol.

abc: 4.644 4.644 4.644
angles: 90.00 90.00 90.00
Space group Pm-3m (No. 221)
Asymmetric unit:
K 0.000 0.000 0.000 (multiplicity 1)
Ga 0.500 0.500 0.500 (multiplicity 1)
Re 0.000 0.500 0.500 (multiplicity 3)

- Energy of formation: 2.37 eV per atom
- Size of the total moment: 0.00 μB/cell
- N(E_F): 1.160 states/eV/atom
- Total DFT energy (no corrections): -32.61 eV for the cell shown
- Density: 11.068 g/cm3